# K3Li2Nb5O15

A geometry-optimized K3Li2Nb5O15 structure (PBEsol, Alexandria via LeMat-Bulk). Values from VASP.

Cell and atoms, written as Quantum ESPRESSO input:
```
&SYSTEM
  ibrav = 0, nat = 50, ntyp = 4
/
ATOMIC_SPECIES
K 39.10 K.upf
Li 6.94 Li.upf
Nb 92.91 Nb.upf
O 16.00 O.upf
ATOMIC_POSITIONS angstrom
K 3.499 -6.749 -5.235
K -1.535 -1.275 -0.147
K 6.464 -10.162 -6.607
K 0.533 -3.336 -3.862
K 4.122 -8.020 -0.727
K 2.876 -5.478 -9.743
Li 5.304 -8.415 -9.634
Li 1.693 -5.082 -0.835
Li 6.179 -10.257 -2.806
Li 0.818 -3.240 -7.664
Nb 1.098 -0.600 -6.247
Nb 3.936 -4.874 1.160
Nb 6.094 -6.474 -7.490
Nb 3.973 -4.475 -2.685
Nb 7.719 -9.245 -0.441
Nb 2.349 -1.704 -9.734
Nb 6.491 -7.396 -3.645
Nb 3.576 -3.553 -6.530
Nb 1.796 -2.107 -0.484
Nb 8.272 -8.842 -9.691
O 7.744 -8.835 -4.246
O 2.324 -2.113 -5.928
O 7.343 -7.580 -10.935
O 2.724 -3.369 0.760
O 4.250 -5.029 -0.782
O 5.817 -5.920 -9.393
O 8.604 -10.131 -2.001
O 1.463 -0.817 -8.174
O -0.437 -1.875 -6.394
O 2.401 -6.149 1.013
O 7.334 -7.885 -8.197
O 2.734 -3.064 -1.978
O 6.837 -8.029 -1.772
O 3.230 -2.919 -8.402
O 6.292 -6.931 -5.597
O 3.775 -4.018 -4.578
O 6.908 -8.452 1.155
O 3.160 -2.496 -11.330
O 5.251 -5.958 -3.168
O 4.816 -4.991 -7.007
O 0.837 -0.822 -1.609
O 9.230 -10.126 -8.566
O 4.613 -7.801 -7.738
O 2.385 -5.696 -2.731
O 6.169 -10.488 -0.709
O 0.828 -3.010 -9.761
O 5.016 -8.752 -3.718
O 1.981 -4.746 -6.752
O 0.340 -3.473 -0.665
O 6.657 -10.025 -9.805
CELL_PARAMETERS angstrom
-3.070 -2.549 -0.295
2.195 -1.200 -12.494
7.872 -9.748 2.320
```

Properties
- energy relative to the lowest polymorph listed for this composition (meV/atom) = 11
- E_form (uncorrected) (kJ per mole of atoms) = -236



# Tm2Au

A geometry-optimized Tm2Au structure (PBEsol, Alexandria via LeMat-Bulk). Values from VASP.

Cell and atoms, written as Quantum ESPRESSO input:
```
&SYSTEM
  ibrav = 0, nat = 12, ntyp = 2
/
ATOMIC_SPECIES
Tm 168.93 Tm.upf
Au 196.97 Au.upf
ATOMIC_POSITIONS angstrom
Tm -5.913 1.644 1.333
Tm -5.523 -0.401 4.081
Tm -7.534 -2.977 5.741
Tm -8.905 -0.222 4.188
Tm -2.175 -1.714 0.221
Tm -3.547 1.041 -1.332
Tm -5.558 -1.535 0.328
Tm -5.167 -3.580 3.076
Au -7.531 -1.953 2.370
Au -7.759 2.245 3.436
Au -3.322 -4.181 0.973
Au -3.550 0.017 2.039
CELL_PARAMETERS angstrom
-3.497 0.636 -3.249
-2.581 -6.196 1.565
-5.003 3.624 6.093
```

Properties
- ΔH_f (0 K) (meV per atom) = -681.4
- DOS(E_F) (states/eV/f.u.) = 2.775



# CoRe2Pb2

A geometry-optimized CoRe2Pb2 structure (PBEsol, Alexandria via LeMat-Bulk). Values from VASP.

Cell and atoms, written as Quantum ESPRESSO input:
```
&SYSTEM
  ibrav = 0, nat = 5, ntyp = 3
/
ATOMIC_SPECIES
Pb 207.20 Pb.upf
Re 186.21 Re.upf
Co 58.93 Co.upf
ATOMIC_POSITIONS angstrom
Pb 1.571 4.879 4.414
Pb 1.536 -0.462 2.477
Re 2.597 2.422 2.838
Re 0.509 1.995 4.053
Co 0.000 0.000 0.000
CELL_PARAMETERS angstrom
-0.933 -2.072 2.622
3.243 -1.218 0.192
0.796 7.707 4.077
```

Properties
- ΔH_f (0 K) (meV per atom) = 1064.0
- DOS(E_F) (states/eV/f.u.) = 5.946



Results for VASP energy: -402.573; -63.064; -37.079 (in eV/cell, following the order of the records).